<A>
Li2CdHPd (PBE, optimized geometry); magnetization = 0.0 μB/f.u.; calculated volume = 64.92 Å³/f.u.; DOS(E_F) = 1.542 states/eV/f.u.
1.0
4.136 0.000 0.000
0.000 4.136 0.000
0.000 0.000 3.796
Li Cd H Pd
2 1 1 1
Cartesian
0.000 2.068 0.000
2.068 0.000 0.000
0.000 0.000 1.898
2.068 2.068 0.000
2.068 2.068 1.898

<B>
Li2CdHPd (PBE, optimized geometry); magnetization = 0.0 μB/f.u.; calculated volume = 67.21 Å³/f.u.; DOS(E_F) = 1.412 states/eV/f.u.
1.0
3.948 0.000 0.000
0.000 3.948 0.000
0.000 0.000 4.312
Li Cd H Pd
2 1 1 1
Cartesian
0.000 1.974 0.000
1.974 0.000 0.000
0.000 0.000 2.156
0.000 0.000 0.000
1.974 1.974 2.156

Computed relative energies in units of eV/atom: <A> 0.000; <B> 0.115

<A>
LiCdHPt2 (PBE, optimized geometry); magnetization = 0.0 μB/f.u.; calculated volume = 67.69 Å³/f.u.; DOS(E_F) = 1.468 states/eV/f.u.
1.0
3.988 0.000 0.000
0.000 3.988 0.000
0.000 0.000 4.256
Li Cd H Pt
1 1 1 2
Cartesian
0.000 0.000 0.000
1.994 1.994 0.000
1.994 1.994 2.128
0.000 1.994 2.128
1.994 0.000 2.128

<B>
LiCdHPt2 (PBE, optimized geometry); magnetization = 0.0 μB/f.u.; calculated volume = 65.61 Å³/f.u.; DOS(E_F) = 0.787 states/eV/f.u.
1.0
4.019 0.000 0.000
0.000 4.019 0.000
0.000 0.000 4.062
Li Cd H Pt
1 1 1 2
Cartesian
0.000 0.000 0.000
2.010 2.010 0.000
0.000 0.000 2.031
0.000 2.010 2.031
2.010 0.000 2.031

Computed relative energies in units of eV/atom: <A> 0.170; <B> 0.000

<A>
LiCd2HPt (PBE, optimized geometry); magnetization = 0.0 μB/f.u.; calculated volume = 72.31 Å³/f.u.; DOS(E_F) = 1.159 states/eV/f.u.
1.0
4.552 0.000 0.000
0.000 4.552 0.000
0.000 0.000 3.489
Li Cd H Pt
1 2 1 1
Cartesian
0.000 0.000 0.000
0.000 2.276 1.745
2.276 0.000 1.745
0.000 0.000 1.745
2.276 2.276 0.000

<B>
LiCd2HPt (PBE, optimized geometry); magnetization = 0.0 μB/f.u.; calculated volume = 77.47 Å³/f.u.; DOS(E_F) = 1.619 states/eV/f.u.
1.0
4.690 0.000 0.000
0.000 4.690 0.000
0.000 0.000 3.522
Li Cd H Pt
1 2 1 1
Cartesian
0.000 0.000 0.000
0.000 2.345 1.761
2.345 0.000 1.761
2.345 2.345 1.761
2.345 2.345 0.000

Computed relative energies in units of eV/atom: <A> 0.000; <B> 0.031

<A>
LiSc2CdH (PBE, optimized geometry); magnetization = 1.0 μB/f.u.; calculated volume = 83.84 Å³/f.u.; DOS(E_F) = 3.750 states/eV/f.u.
1.0
4.669 0.000 0.000
0.000 4.669 0.000
0.000 0.000 3.845
Li Sc Cd H
1 2 1 1
Cartesian
0.000 0.000 0.000
0.000 2.335 1.923
2.335 0.000 1.923
2.335 2.335 0.000
0.000 0.000 1.923

<B>
LiSc2CdH (PBE, optimized geometry); magnetization = 1.2 μB/f.u.; calculated volume = 87.20 Å³/f.u.; DOS(E_F) = 4.645 states/eV/f.u.
1.0
4.410 0.000 0.000
0.000 4.410 0.000
0.000 0.000 4.485
Li Sc Cd H
1 2 1 1
Cartesian
0.000 0.000 0.000
0.000 2.205 2.242
2.205 0.000 2.242
2.205 2.205 0.000
2.205 2.205 2.242

Computed relative energies in units of eV/atom: <A> 0.000; <B> 0.164

<A>
Li2CdSnH (PBE, optimized geometry); magnetization = 0.0 μB/f.u.; calculated volume = 83.54 Å³/f.u.; DOS(E_F) = 1.156 states/eV/f.u.
1.0
4.334 0.000 0.000
0.000 4.334 0.000
0.000 0.000 4.447
Li Cd Sn H
2 1 1 1
Cartesian
0.000 2.167 0.000
2.167 0.000 0.000
0.000 0.000 2.223
2.167 2.167 2.223
2.167 2.167 0.000

<B>
Li2CdSnH (PBE, optimized geometry); magnetization = 0.0 μB/f.u.; calculated volume = 81.02 Å³/f.u.; DOS(E_F) = 0.796 states/eV/f.u.
1.0
4.511 0.000 0.000
0.000 4.511 0.000
0.000 0.000 3.981
Li Cd Sn H
2 1 1 1
Cartesian
0.000 2.256 0.000
2.256 0.000 0.000
0.000 0.000 1.991
2.256 2.256 1.991
0.000 0.000 0.000

Computed relative energies in units of eV/atom: <A> 0.055; <B> 0.000

<A>
Sr2LiCdH (PBE, optimized geometry); magnetization = 0.0 μB/f.u.; calculated volume = 129.28 Å³/f.u.; DOS(E_F) = 2.801 states/eV/f.u.
1.0
5.515 0.000 0.000
0.000 5.515 0.000
0.000 0.000 4.250
Sr Li Cd H
2 1 1 1
Cartesian
0.000 2.758 0.000
2.758 0.000 0.000
0.000 0.000 2.125
2.758 2.758 2.125
0.000 0.000 0.000

<B>
Sr2LiCdH (PBE, optimized geometry); magnetization = 0.0 μB/f.u.; calculated volume = 134.36 Å³/f.u.; DOS(E_F) = 3.293 states/eV/f.u.
1.0
5.391 0.000 0.000
0.000 5.391 0.000
0.000 0.000 4.623
Sr Li Cd H
2 1 1 1
Cartesian
0.000 2.696 0.000
2.696 0.000 0.000
0.000 0.000 2.311
2.696 2.696 2.311
2.696 2.696 0.000

Computed relative energies in units of eV/atom: <A> 0.000; <B> 0.135